{
  "formula": "CaNb3Co",
  "functional": "PBE",
  "state": "relaxed",
  "lattice_angstrom": [[4.654, 0.000, 0.000], [0.000, 4.654, 0.000], [0.000, 0.000, 4.654]],
  "species": ["Ca", "Nb", "Nb", "Nb", "Co"],
  "frac_coords": [[0.000, 0.000, 0.000], [0.000, 0.000, 0.500], [0.000, 0.500, 0.000], [0.500, 0.000, 0.000], [0.500, 0.500, 0.500]],
  "vol_a3_per_cell": 100.82,
  "relative_energy_kcal_per_mol_atoms": 44.66,
  "total_energy_ev_per_cell": -26.3,
  "space_group": "Pm-3m (221)",
  "delta_e_f_kcal_per_mol_atoms": 59.92
}